DFT (PBE) results for a relaxed structure of Ac4La3Mg2.

## Properties
* space-group type: P-1, No. 2
* DFT formation energy: 0.013 eV/atom

Cell: 5.285 6.467 11.286 Å, 73.89 89.99 65.89°
Fractional positions:
Mg: 0.667 0.667 0.224
Mg: 0.333 0.333 0.776
Ac: 0.998 0.003 0.330
Ac: 0.002 0.997 0.670
Ac: 0.333 0.334 0.111
Ac: 0.667 0.666 0.889
La: 0.000 0.000 0.000
La: 0.670 0.660 0.550
La: 0.330 0.340 0.450